The following is a DFT calculation (GGA-PBE) of an optimized crystal structure of SiNi.

Structure (extended XYZ):
```
12
Lattice="-0.262 6.271 -0.146 -0.206 -0.155 -6.273 -6.269 -0.257 0.212" Properties=species:S:1:pos:R:3 pbc="T T T"
Si -3.200 1.439 0.069
Si -3.331 4.575 -0.004
Si -1.670 -0.142 -3.083
Si -4.805 -0.270 -2.977
Si -0.183 3.097 -1.641
Si -0.286 3.019 -4.778
Ni -0.169 1.490 -3.173
Ni -0.300 4.626 -3.246
Ni -1.699 3.071 -0.020
Ni -4.833 2.942 0.086
Ni -3.186 -0.167 -1.462
Ni -3.289 -0.245 -4.599
```

E_form (uncorrected): 303 meV/atom
D(E_F): 7.1 states/eV per cell
Magnetic moment: 0.00 μB per cell
Calculated volume: 20.621 Å³ per atom

=====

The following is a DFT calculation (GGA-PBE) of an optimized crystal structure of OsPbAu2.

Structure (extended XYZ):
```
4
Lattice="5.480 0.014 0.000 2.491 4.881 0.000 -3.986 -2.447 2.856" Properties=species:S:1:pos:R:3 pbc="T T T"
Au 0.000 0.000 0.000
Au 3.986 2.447 0.000
Os 1.246 2.441 1.428
Pb 2.740 0.007 1.428
```

D(E_F): 3.6 states/eV per cell
Magnetic moment: 1.18 μB per cell
Energy of formation: 0.75 eV/atom
Calculated volume: 19.075 Å³ per atom

=====

The following is a DFT calculation (GGA-PBE) of an optimized crystal structure of PrHoGa2Pt5.

Structure (extended XYZ):
```
9
Lattice="4.234 0.000 0.000 0.000 4.234 0.000 0.000 0.000 9.376" Properties=species:S:1:pos:R:3 pbc="T T T"
Pr 0.000 0.000 4.688
Ho 0.000 0.000 0.000
Ga 2.117 2.117 1.215
Ga 2.117 2.117 8.161
Pt 0.000 2.117 2.511
Pt 2.117 0.000 2.511
Pt 0.000 2.117 6.865
Pt 2.117 0.000 6.865
Pt 2.117 2.117 4.688
```

D(E_F): 4.5 states/eV per cell
Magnetic moment: 0.00 μB per cell
Energy of formation: -0.88 eV/atom
Calculated volume: 18.679 Å³ per atom

=====

The following is a DFT calculation (GGA-PBE) of an optimized crystal structure of Th8FeTe4C3.

Structure (extended XYZ):
```
16
Lattice="-7.584 -2.376 0.525 2.544 -8.314 -0.886 3.280 4.191 5.930" Properties=species:S:1:pos:R:3 pbc="T T T"
Th 3.116 -2.269 5.177
Th 1.511 -4.319 2.276
Th 0.517 -0.969 3.076
Th -0.595 -3.432 5.434
Th -1.165 -3.067 0.135
Th -2.277 -5.530 2.493
Th -3.271 -2.180 3.293
Th -4.877 -4.230 0.392
Fe 1.272 -4.157 -0.443
Te -3.792 -1.188 0.263
Te -2.152 0.907 3.228
Te 0.000 0.000 0.000
Te 1.640 2.095 2.965
C -2.520 -5.345 -0.180
C -0.880 -3.250 2.785
C 2.912 -2.061 2.522
```

E_form (uncorrected): -727 meV/atom
D(E_F): 10.5 states/eV per cell
Magnetic moment: 0.00 μB per cell
Calculated volume: 25.524 Å³ per atom

=====

The following is a DFT calculation (GGA-PBE) of an optimized crystal structure of Li3Ag4Au4.

Structure (extended XYZ):
```
11
Lattice="-0.258 1.747 -2.257 -4.484 -1.086 -0.332 -5.552 10.089 8.605" Properties=species:S:1:pos:R:3 pbc="T T T"
Li -6.931 7.016 5.401
Li -3.364 3.734 0.615
Li -0.258 1.747 -2.257
Ag -5.051 8.736 6.439
Ag -3.853 4.864 3.365
Ag -6.441 5.886 2.651
Ag -5.244 2.015 -0.423
Au -7.667 9.848 5.902
Au -2.627 0.902 0.113
Au -5.702 3.025 2.203
Au -4.592 7.725 3.813
```

D(E_F): 2.0 states/eV per cell
Magnetic moment: 0.00 μB per cell
Energy of formation: -0.26 eV/atom
Calculated volume: 17.084 Å³ per atom

=====

The following is a DFT calculation (GGA-PBE) of an optimized crystal structure of LiP2ClO.

Structure (extended XYZ):
```
5
Lattice="-4.349 1.656 0.301 -0.971 -1.790 -4.195 -1.008 -2.916 1.477" Properties=species:S:1:pos:R:3 pbc="T T T"
P -0.486 -0.895 -2.098
P -2.175 0.828 0.150
Li 0.000 0.000 0.000
O -0.504 -1.458 0.739
Cl -3.164 -1.525 -1.209
```

E_form (uncorrected): 633 meV/atom
D(E_F): 2.7 states/eV per cell
Magnetic moment: 0.00 μB per cell
Offset from the most stable computed form: 797 meV/atom
Calculated volume: 14.880 Å³ per atom